Here is a relaxed structure of SrCuP2S from the Alexandria database. Energies are from PBE.

Cell and atoms, written as POSCAR:
```
SrCuP2S
1.0
4.531 0.000 0.000
0.000 4.531 0.000
0.000 0.000 5.027
Sr S Cu P
1 1 1 2
direct
0.500 0.500 0.500 Sr
0.000 0.000 0.500 S
0.000 0.000 0.000 Cu
0.000 0.500 0.000 P
0.500 0.000 0.000 P
```

Summary:
VASP energy ... -4.287 eV per atom
Density of states at the Fermi level ... 4.3 states/eV per cell
ΔE to the lowest computed polymorph ... 0 kJ/mol of formula units
Formation energy (no corrections) ... -0.1423 eV/atom
Density ... 3.94 g/cm3